Entry 1:
The following is a DFT calculation (PBE) of an optimized crystal structure of TcWSeN2.

The relative energy among the computed polymorphs comes out at 0.00 eV/f.u. As for the total magnetic moment: 4.035 μB/f.u. For the mass density, the calculation gives 7.956 g cm⁻³. As for the energy: -39.5 eV for the cell shown. As for the raw formation energy: 783 meV per atom.

Lattice parameters (Å, degrees): 3.904 3.904 5.326 90.00 90.00 90.00
Last column: magnetic moment on the atom in μB.
Fractional positions:
Se: 0.000 0.000 0.500  0.02
Tc: 0.500 0.500 0.500  3.36
W: 0.000 0.000 0.000  -0.03
N: 0.000 0.500 0.000  0.09
N: 0.500 0.000 0.000  0.09

Entry 2:
The following is a DFT calculation (PBE) of an optimized crystal structure of Dy5TmSc2.

The relative energy among the computed polymorphs comes out at 0.00 eV/f.u. As for the total magnetic moment: 0.001 μB/f.u. For the mass density, the calculation gives 7.464 g cm⁻³. As for the energy: -40.0 eV for the cell shown. The formation energy from the elements is 0.187 eV/f.u.

Lattice parameters (Å, degrees): 7.069 7.069 6.543 105.71 105.71 119.92
Fractional positions:
Dy: 0.237 0.318 0.500
Dy: 0.318 0.738 0.000
Dy: 0.817 0.238 0.000
Dy: 0.737 0.818 0.500
Dy: 0.322 0.234 0.000
Tm: 0.821 0.735 0.000
Sc: 0.235 0.820 0.499
Sc: 0.736 0.321 0.501

Entry 3:
The following is a DFT calculation (PBE) of an optimized crystal structure of Ce3NiBi.

As for the total magnetic moment: 2.935 μB/f.u. For the mass density, the calculation gives 7.846 g cm⁻³. As for the energy: -28.9 eV for the cell shown. The formation energy from the elements is -1.421 eV/f.u.

Lattice parameters (Å, degrees): 5.261 5.261 5.261 90.00 90.00 90.00
Last column: magnetic moment on the atom in μB.
Fractional positions:
Ni: 0.000 0.000 0.000  -0.01
Bi: 0.500 0.500 0.500  -0.04
Ce: 0.000 0.500 0.000  0.77
Ce: 0.000 0.000 0.500  0.77
Ce: 0.500 0.000 0.000  0.77

Entry 4:
The following is a DFT calculation (PBE) of an optimized crystal structure of Zr2FeRe.

The relative energy among the computed polymorphs comes out at 0.02 eV/f.u. As for the total magnetic moment: 0.578 μB/f.u. For the mass density, the calculation gives 10.222 g cm⁻³. As for the energy: -38.7 eV for the cell shown. The formation energy from the elements is -0.723 eV/f.u.

Lattice parameters (Å, degrees): 4.603 4.603 4.603 60.00 60.00 60.00
Last column: magnetic moment on the atom in μB.
Fractional positions:
Re: 0.500 0.500 0.500  0.10
Fe: 0.000 0.000 0.000  0.75
Zr: 0.250 0.250 0.250  -0.10
Zr: 0.750 0.750 0.750  -0.10

Entry 5:
The following is a DFT calculation (PBE) of an optimized crystal structure of Ca2Rh.

As for the total magnetic moment: 0.000 μB/f.u. For the mass density, the calculation gives 3.504 g cm⁻³. As for the energy: -24.2 eV for the cell shown. The formation energy from the elements is -0.750 eV/f.u.

Lattice parameters (Å, degrees): 3.587 6.843 7.069 90.00 90.00 90.00
Fractional positions:
Ca: 0.000 0.236 0.678
Ca: 0.000 0.764 0.322
Ca: 0.500 0.736 0.822
Ca: 0.500 0.264 0.178
Rh: 0.000 0.000 0.000
Rh: 0.500 0.500 0.500

Entry 6:
The following is a DFT calculation (PBE) of an optimized crystal structure of OsRu2.

The relative energy among the computed polymorphs comes out at 0.37 eV/f.u. As for the total magnetic moment: 0.000 μB/f.u. For the mass density, the calculation gives 15.435 g cm⁻³. As for the energy: -58.9 eV for the cell shown. The formation energy from the elements is 0.346 eV/f.u.

Lattice parameters (Å, degrees): 6.045 6.045 3.840 90.00 90.00 143.01
Fractional positions:
Os: 0.917 0.083 0.250
Os: 0.083 0.917 0.750
Ru: 0.583 0.417 0.250
Ru: 0.417 0.583 0.750
Ru: 0.250 0.750 0.250
Ru: 0.750 0.250 0.750

Entry 7:
The following is a DFT calculation (PBE) of an optimized crystal structure of YFe2Tc.

The relative energy among the computed polymorphs comes out at 1.83 eV/f.u. As for the total magnetic moment: 0.000 μB/f.u. For the mass density, the calculation gives 7.291 g cm⁻³. As for the energy: -62.9 eV for the cell shown. The formation energy from the elements is 2.302 eV/f.u.

Lattice parameters (Å, degrees): 6.928 6.928 5.659 52.26 52.26 90.00
Fractional positions:
Y: 0.500 0.500 0.000
Y: 0.250 0.750 0.500
Tc: 0.000 0.000 0.000
Tc: 0.750 0.250 0.500
Fe: 0.683 0.125 0.250
Fe: 0.067 0.625 0.250
Fe: 0.375 0.317 0.750
Fe: 0.875 0.933 0.750

Entry 8:
The following is a DFT calculation (PBE) of an optimized crystal structure of Al2CuP.

As for the total magnetic moment: 0.000 μB/f.u. For the mass density, the calculation gives 4.300 g cm⁻³. As for the energy: -17.0 eV for the cell shown. The formation energy from the elements is 0.013 eV/f.u.

Lattice parameters (Å, degrees): 3.284 3.285 5.316 90.00 90.00 90.00
Fractional positions:
P: 0.500 0.500 0.750
Al: 0.000 0.000 0.998
Al: 0.000 0.000 0.502
Cu: 0.500 0.500 0.250

Entry 9:
The following is a DFT calculation (PBE) of an optimized crystal structure of ErAsS.

As for the total magnetic moment: 0.000 μB/f.u. For the mass density, the calculation gives 7.452 g cm⁻³. As for the energy: -35.9 eV for the cell shown. As for the raw formation energy: -1534 meV per atom.

Lattice parameters (Å, degrees): 3.801 3.801 8.459 90.00 90.00 90.00
Fractional positions:
As: 0.750 0.250 0.000
As: 0.250 0.750 0.000
S: 0.750 0.750 0.375
S: 0.250 0.250 0.625
Er: 0.750 0.750 0.709
Er: 0.250 0.250 0.291

Entry 10:
The following is a DFT calculation (PBE) of an optimized crystal structure of InS2ClF.

The relative energy among the computed polymorphs comes out at 0.22 eV/f.u. As for the total magnetic moment: 3.023 μB/f.u. For the mass density, the calculation gives 3.020 g cm⁻³. As for the energy: -13.6 eV for the cell shown. As for the raw formation energy: 218 meV per atom.

Lattice parameters (Å, degrees): 5.039 5.039 5.055 90.00 90.00 90.00
Last column: magnetic moment on the atom in μB.
Fractional positions:
S: 0.000 0.500 0.000  0.76
S: 0.500 0.000 0.000  0.76
Cl: 0.000 0.000 0.500  0.10
F: 0.500 0.500 0.500  0.47
In: 0.000 0.000 0.000  -0.04

Entry 11:
The following is a DFT calculation (PBE) of an optimized crystal structure of CdTcSe2Br.

The relative energy among the computed polymorphs comes out at 0.00 eV/f.u. As for the total magnetic moment: 0.000 μB/f.u. For the mass density, the calculation gives 5.888 g cm⁻³. As for the energy: -19.2 eV for the cell shown. As for the raw formation energy: 142 meV per atom.

Lattice parameters (Å, degrees): 4.837 4.837 5.404 90.00 90.00 90.00
Fractional positions:
Se: 0.000 0.500 0.000
Se: 0.500 0.000 0.000
Tc: 0.000 0.000 0.000
Br: 0.000 0.000 0.500
Cd: 0.500 0.500 0.500

Entry 12:
The following is a DFT calculation (PBE) of an optimized crystal structure of LaY3Sc.

The relative energy among the computed polymorphs comes out at 2.17 eV/f.u. As for the total magnetic moment: 0.676 μB/f.u. For the mass density, the calculation gives 4.173 g cm⁻³. As for the energy: -28.1 eV for the cell shown. The formation energy from the elements is 2.542 eV/f.u.

Lattice parameters (Å, degrees): 5.639 5.639 5.639 90.00 90.00 90.00
Last column: magnetic moment on the atom in μB.
Fractional positions:
Y: 0.000 0.500 0.000  0.10
Y: 0.000 0.000 0.500  0.12
Y: 0.500 0.000 0.000  0.03
Sc: 0.000 0.000 0.000  0.31
La: 0.500 0.500 0.500  0.01